Material: Ti6Hg3C
Method: DFT, PBE
State: relaxed

## Properties
- calculated formation energy (meV/atom) = -45.9
- space-group type = C2/m

a = 6.9183 Å, b = 5.6799 Å, c = 5.6799 Å
α = 61.80°, β = 72.94°, γ = 72.94°
Closest atoms and distances in Å follow each position.
Element x y z (fractional)
Ti  0.2222  0.6790  0.6790  1 C 2.11
Ti  0.6184  0.3566  0.8531  1 C 2.09
Ti  0.6184  0.8531  0.3566  1 C 2.09
Ti  0.7778  0.3210  0.3210  1 C 2.11
Ti  0.3816  0.6434  0.1469  1 C 2.09
Ti  0.3816  0.1469  0.6434  1 C 2.09
Hg  0.7651  0.8036  0.8036  9 Ti 2.87-3.13, 1 Hg 2.90
Hg  0.2349  0.1964  0.1964  9 Ti 2.87-3.13, 1 Hg 2.90
Hg  0.0000  0.0000  0.0000  6 Ti 2.89-2.98, 2 Hg 2.90
C  0.5000  0.5000  0.5000  6 Ti 2.09-2.11